3
Lattice="3.342 0.000 0.000 -1.671 2.894 0.000 0.000 0.000 6.094" Properties=species:S:1:pos:R:3 comment="TcMoBr (GGA-PBE, optimized geometry)" relative_energy_mev_per_atom=10 pbc="T T T"
Tc 0.000 0.000 0.000
Mo 0.000 1.930 4.635
Br 1.671 0.965 2.379


4
Lattice="0.000 3.173 3.173 3.173 0.000 3.173 3.173 3.173 0.000" Properties=species:S:1:pos:R:3 comment="TcMo2Br (GGA-PBE, optimized geometry)" relative_energy_mev_per_atom=509 pbc="T T T"
Tc 0.000 0.000 0.000
Mo 1.586 1.586 1.586
Mo 4.759 4.759 4.759
Br 3.173 3.173 3.173


4
Lattice="-1.894 1.894 4.488 1.894 -1.894 4.488 1.894 1.894 -4.488" Properties=species:S:1:pos:R:3 comment="TcMo2Br (GGA-PBE, optimized geometry)" relative_energy_mev_per_atom=612 pbc="T T T"
Tc 0.000 0.000 0.000
Mo 0.000 0.000 4.488
Mo 0.000 1.894 2.244
Br 1.894 0.000 2.244


4
Lattice="2.933 0.000 0.000 0.000 2.946 0.000 0.000 0.000 7.942" Properties=species:S:1:pos:R:3 comment="Tc2MoBr (GGA-PBE, optimized geometry)" relative_energy_mev_per_atom=0 pbc="T T T"
Tc 0.000 0.000 0.000
Tc 1.466 1.473 1.579
Mo 1.466 1.473 6.079
Br 0.000 1.473 3.890